Computed, not measured: a geometry-optimized BeCr2Ge structure at the PBE level of DFT.

The space group is Fm-3m (No. 225) and the conventional cell measures 5.691, 5.691 and 5.691 Å, with angles of 90.00, 90.00 and 90.00 degrees. Symmetry generates all atoms from Be at (0.000, 0.000, 0.000), Cr at (0.250, 0.250, 0.250) and Ge at (0.000, 0.000, 0.500).

As for the formation energy: 0.950 eV/f.u.

=====

Computed, not measured: a geometry-optimized Be2CrGe2 structure at the PBE level of DFT.

The space group is P4/mmm (No. 123) and the conventional cell measures 3.978, 3.978 and 5.483 Å, with angles of 90.00, 90.00 and 90.00 degrees. Symmetry generates all atoms from Be at (0.000, 0.500, 0.000), Cr at (0.000, 0.000, 0.500), Ge at (0.500, 0.500, 0.000) and Ge at (0.500, 0.500, 0.500).

As for the formation energy: 6.420 eV/f.u.

=====

Number 1: total moment 0.00 Bohr magnetons per cell, excess energy over the best structure of this formula in the dataset 0 meV per atom. Number 2: total moment 0.60 Bohr magnetons per cell, excess energy over the best structure of this formula in the dataset 918 meV per atom.